Run w
VASP calculation (PBE-GGA) on a relaxed SiPbS2Cl crystal.

Output
Total magnetic moment   0.0 μB per formula unit
Density of states at the Fermi level   2.689 states/eV per cell

Lattice parameters (Å, degrees): 5.312 5.312 5.248 90.00 90.00 90.00
Atoms (fractional coordinates):
Si 0.000 0.000 0.000
Pb 0.500 0.500 0.500
S 0.000 0.500 0.500
S 0.500 0.000 0.500
Cl 0.500 0.500 0.000

=====

Run x
VASP calculation (PBE-GGA) on a relaxed SiPbS2Cl crystal.

Output
Total magnetic moment   0.0 μB per formula unit
Density of states at the Fermi level   2.856 states/eV per cell

Lattice parameters (Å, degrees): 4.843 4.843 5.003 90.00 90.00 90.00
Atoms (fractional coordinates):
Si 0.000 0.000 0.000
Pb 0.500 0.500 0.500
S 0.000 0.500 0.000
S 0.500 0.000 0.000
Cl 0.000 0.000 0.500

=====

Least stable = run w

=====

Run w
VASP calculation (PBE-GGA) on a relaxed SnPbSCl2 crystal.

Output
Total magnetic moment   0.0 μB per formula unit
Density of states at the Fermi level   2.262 states/eV per cell

Lattice parameters (Å, degrees): 5.433 5.433 5.542 90.00 90.00 90.00
Atoms (fractional coordinates):
Sn 0.000 0.000 0.000
Pb 0.500 0.500 0.500
S 0.500 0.500 0.000
Cl 0.000 0.500 0.500
Cl 0.500 0.000 0.500

=====

Run x
VASP calculation (PBE-GGA) on a relaxed SnPbSCl2 crystal.

Output
Total magnetic moment   0.0 μB per formula unit

Lattice parameters (Å, degrees): 7.068 7.068 10.355 90.00 90.00 145.74
Atoms (fractional coordinates):
Sn 0.000 0.000 0.000
Sn 0.000 0.000 0.500
Pb 0.283 0.717 0.750
Pb 0.717 0.283 0.250
S 0.085 0.915 0.250
S 0.915 0.085 0.750
Cl 0.356 0.644 0.055
Cl 0.356 0.644 0.445
Cl 0.644 0.356 0.555
Cl 0.644 0.356 0.945

=====

Least stable = run w